Entry 1:
K2Pa3TaO12 | GGA-PBE | optimized geometry

Properties
Its crystal system is trigonal. The value obtained for the uncorrected formation energy is -2.866 eV per atom. The value obtained for the density is 5.37 Mg/m³.

a b c (Å): 7.8700 7.8700 7.8700
angles (deg): 61.16 61.16 61.16
With the nearest neighbours (Å) after each atom.
Fractional coordinates of all 18 atoms:
Ta (0.0000, 0.0000, 0.0000)  6 O 1.99
K (0.3951, 0.3951, 0.3951)  3 O 3.19
O (0.6772, 0.6772, 0.0740)  2 Pa 2.16
K (0.6049, 0.6049, 0.6049)  3 O 3.19
O (0.6772, 0.0740, 0.6772)  2 Pa 2.16
Pa (0.5000, 0.0000, 0.0000)  6 O 2.16
O (0.9260, 0.3228, 0.3228)  2 Pa 2.16
O (0.0740, 0.6772, 0.6772)  2 Pa 2.16
O (0.9413, 0.9413, 0.2956)  1 Ta 1.99, 1 Pa 2.16
Pa (0.0000, 0.0000, 0.5000)  6 O 2.16
O (0.0587, 0.0587, 0.7044)  1 Ta 1.99, 1 Pa 2.16
O (0.7044, 0.0587, 0.0587)  1 Ta 1.99, 1 Pa 2.16
O (0.9413, 0.2956, 0.9413)  1 Ta 1.99, 1 Pa 2.16
Pa (0.0000, 0.5000, 0.0000)  6 O 2.16
O (0.3228, 0.3228, 0.9260)  2 Pa 2.16
O (0.0587, 0.7044, 0.0587)  1 Ta 1.99, 1 Pa 2.16
O (0.2956, 0.9413, 0.9413)  1 Ta 1.99, 1 Pa 2.16
O (0.3228, 0.9260, 0.3228)  2 Pa 2.16



Entry 2:
K2PaTaO6 | GGA-PBE | optimized geometry

Properties
Its crystal system is tetragonal. The value obtained for the uncorrected formation energy is -2.893 eV per atom. The value obtained for the density is 6.39 Mg/m³.

a b c (Å): 4.3486 5.9176 5.9176
angles (deg): 90.00 90.00 90.00
With the nearest neighbours (Å) after each atom.
Fractional coordinates of all 10 atoms:
K (0.1289, 0.5000, 0.0000)  12 O 2.94-3.10
O (0.1708, 0.0000, 0.0000)  1 Ta 1.85
O (0.1499, 0.5000, 0.5000)  2 Pa 2.17-2.18
O (0.6560, 0.2380, 0.7620)  1 Ta 2.01, 1 Pa 2.19
K (0.1289, 0.0000, 0.5000)  12 O 2.94-3.10
Pa (0.6486, 0.5000, 0.5000)  6 O 2.17-2.19
O (0.6560, 0.7620, 0.2380)  1 Ta 2.01, 1 Pa 2.19
O (0.6560, 0.2380, 0.2380)  1 Ta 2.01, 1 Pa 2.19
Ta (0.5956, 0.0000, 0.0000)  5 O 1.85-2.01
O (0.6560, 0.7620, 0.7620)  1 Ta 2.01, 1 Pa 2.19



Entry 3:
K2TbPaO5 | GGA-PBE | optimized geometry

Properties
Its crystal system is tetragonal. The value obtained for the uncorrected formation energy is -2.639 eV per atom. The value obtained for the density is 5.67 Mg/m³.

a b c (Å): 4.2526 4.2526 8.8827
angles (deg): 90.00 90.00 90.00
With the nearest neighbours (Å) after each atom.
Fractional coordinates of all 9 atoms:
O (0.0000, 0.0000, 0.2472)  1 Tb 2.20, 1 Pa 2.25
O (0.0000, 0.5000, 0.5000)  2 Pa 2.13
O (0.0000, 0.0000, 0.7528)  1 Tb 2.20, 1 Pa 2.25
K (0.5000, 0.5000, 0.7203)  1 O 2.48
Tb (0.0000, 0.0000, 0.0000)  2 O 2.20
O (0.5000, 0.5000, 0.0000)  2 K 2.48
K (0.5000, 0.5000, 0.2797)  1 O 2.48
O (0.5000, 0.0000, 0.5000)  2 Pa 2.13
Pa (0.0000, 0.0000, 0.5000)  6 O 2.13-2.25



Entry 4:
K2Pa3TcO12 | GGA-PBE | optimized geometry

Properties
Its crystal system is trigonal. The value obtained for the uncorrected formation energy is -2.682 eV per atom. The value obtained for the density is 5.02 Mg/m³.

a b c (Å): 7.8484 7.8484 7.8484
angles (deg): 61.16 61.16 61.16
With the nearest neighbours (Å) after each atom.
Fractional coordinates of all 18 atoms:
Tc (0.0000, 0.0000, 0.0000)  6 O 1.89
Pa (0.0000, 0.5000, 0.0000)  6 O 2.16-2.23
O (0.3232, 0.3232, 0.9300)  2 Pa 2.16
O (0.0558, 0.7185, 0.0558)  1 Tc 1.89
O (0.7185, 0.0558, 0.0558)  1 Tc 1.89
O (0.9442, 0.2815, 0.9442)  1 Tc 1.89
O (0.6768, 0.6768, 0.0700)  2 Pa 2.16
K (0.6011, 0.6011, 0.6011)  3 O 3.15
O (0.9442, 0.9442, 0.2815)  1 Tc 1.89
Pa (0.0000, 0.0000, 0.5000)  6 O 2.16-2.23
O (0.6768, 0.0700, 0.6768)  2 Pa 2.16
O (0.0558, 0.0558, 0.7185)  1 Tc 1.89
O (0.9300, 0.3232, 0.3232)  2 Pa 2.16
O (0.3232, 0.9300, 0.3232)  2 Pa 2.16
O (0.2815, 0.9442, 0.9442)  1 Tc 1.89
Pa (0.5000, 0.0000, 0.0000)  6 O 2.16-2.23
K (0.3989, 0.3989, 0.3989)  3 O 3.15
O (0.0700, 0.6768, 0.6768)  2 Pa 2.16



Please write out number 4 again, unchanged.
K2Pa3TcO12 | GGA-PBE | optimized geometry

Properties
Its crystal system is trigonal. The value obtained for the uncorrected formation energy is -2.682 eV per atom. The value obtained for the density is 5.02 Mg/m³.

a b c (Å): 7.8484 7.8484 7.8484
angles (deg): 61.16 61.16 61.16
With the nearest neighbours (Å) after each atom.
Fractional coordinates of all 18 atoms:
Tc (0.0000, 0.0000, 0.0000)  6 O 1.89
Pa (0.0000, 0.5000, 0.0000)  6 O 2.16-2.23
O (0.3232, 0.3232, 0.9300)  2 Pa 2.16
O (0.0558, 0.7185, 0.0558)  1 Tc 1.89
O (0.7185, 0.0558, 0.0558)  1 Tc 1.89
O (0.9442, 0.2815, 0.9442)  1 Tc 1.89
O (0.6768, 0.6768, 0.0700)  2 Pa 2.16
K (0.6011, 0.6011, 0.6011)  3 O 3.15
O (0.9442, 0.9442, 0.2815)  1 Tc 1.89
Pa (0.0000, 0.0000, 0.5000)  6 O 2.16-2.23
O (0.6768, 0.0700, 0.6768)  2 Pa 2.16
O (0.0558, 0.0558, 0.7185)  1 Tc 1.89
O (0.9300, 0.3232, 0.3232)  2 Pa 2.16
O (0.3232, 0.9300, 0.3232)  2 Pa 2.16
O (0.2815, 0.9442, 0.9442)  1 Tc 1.89
Pa (0.5000, 0.0000, 0.0000)  6 O 2.16-2.23
K (0.3989, 0.3989, 0.3989)  3 O 3.15
O (0.0700, 0.6768, 0.6768)  2 Pa 2.16



- Which of these has the lowest density?
  K2Pa3TcO12